Entry 1:
# BiSbI2N, optimized geometry, DFT PBE-GGA
data_BiSbI2N
_chemical_formula_sum 'Bi1 Sb1 I2 N1'
_symmetry_space_group_name_H-M 'P 1'
_symmetry_Int_Tables_number 1
_symmetry_space_group_name_Hall 'P 1'
_cell_length_a 6.305
_cell_length_b 6.305
_cell_length_c 3.968
_cell_angle_alpha 90.00
_cell_angle_beta 90.00
_cell_angle_gamma 90.00
loop_
_atom_site_label
_atom_site_fract_x
_atom_site_fract_y
_atom_site_fract_z
Bi1 0.000 0.000 0.000
Sb1 0.500 0.500 0.500
I1 0.000 0.500 0.500
I2 0.500 0.000 0.500
N1 0.500 0.500 0.000
# raw formation energy: 0.660 eV/atom
# distance to the lowest polymorph of the same formula: 0 meV/atom
# space-group type: P4/mmm, No. 123

=====

Entry 2:
# SiNiAg4, optimized geometry, DFT PBE-GGA
data_SiNiAg4
_chemical_formula_sum 'Si1 Ni1 Ag4'
_symmetry_space_group_name_H-M 'P 1'
_symmetry_Int_Tables_number 1
_symmetry_space_group_name_Hall 'P 1'
_cell_length_a 5.380
_cell_length_b 5.380
_cell_length_c 5.380
_cell_angle_alpha 60.00
_cell_angle_beta 60.00
_cell_angle_gamma 60.00
loop_
_atom_site_label
_atom_site_fract_x
_atom_site_fract_y
_atom_site_fract_z
Si1 0.000 0.000 0.000
Ni1 0.250 0.250 0.250
Ag1 0.126 0.625 0.625
Ag2 0.625 0.126 0.625
Ag3 0.625 0.625 0.126
Ag4 0.625 0.625 0.625
# raw formation energy: 0.594 eV/atom
# space-group type: F-43m, No. 216

=====

Entry 3:
# LiSc2Tl, optimized geometry, DFT PBE-GGA
data_LiSc2Tl
_chemical_formula_sum 'Li3 Sc6 Tl3'
_symmetry_space_group_name_H-M 'P 1'
_symmetry_Int_Tables_number 1
_symmetry_space_group_name_Hall 'P 1'
_cell_length_a 3.274
_cell_length_b 3.274
_cell_length_c 33.469
_cell_angle_alpha 90.00
_cell_angle_beta 90.00
_cell_angle_gamma 120.00
loop_
_atom_site_label
_atom_site_fract_x
_atom_site_fract_y
_atom_site_fract_z
Li1 0.000 0.000 0.000
Li2 0.333 0.667 0.667
Li3 0.667 0.333 0.333
Sc1 0.000 0.000 0.409
Sc2 0.000 0.000 0.591
Sc3 0.333 0.667 0.076
Sc4 0.333 0.667 0.258
Sc5 0.667 0.333 0.742
Sc6 0.667 0.333 0.924
Tl1 0.000 0.000 0.500
Tl2 0.333 0.667 0.167
Tl3 0.667 0.333 0.833
# ΔE_f: 0.25 eV per atom
# space-group type: R-3m, No. 166

=====

Entry 4:
# BaTeP2, optimized geometry, DFT PBE-GGA
data_BaTeP2
_chemical_formula_sum 'Ba2 Te2 P4'
_symmetry_space_group_name_H-M 'P 1'
_symmetry_Int_Tables_number 1
_symmetry_space_group_name_Hall 'P 1'
_cell_length_a 3.459
_cell_length_b 5.847
_cell_length_c 10.511
_cell_angle_alpha 90.00
_cell_angle_beta 90.00
_cell_angle_gamma 90.00
loop_
_atom_site_label
_atom_site_fract_x
_atom_site_fract_y
_atom_site_fract_z
Ba1 0.000 0.000 0.000
Ba2 0.500 0.500 0.500
Te1 0.000 0.500 0.203
Te2 0.500 0.000 0.703
P1 0.000 0.000 0.426
P2 0.000 0.500 0.792
P3 0.500 0.000 0.292
P4 0.500 0.500 0.926
# raw formation energy: -0.448 eV/atom
# space-group type: Imm2, No. 44

=====

Entry 5:
# GaH3Cl, optimized geometry, DFT PBE-GGA
data_GaH3Cl
_chemical_formula_sum 'Ga2 H6 Cl2'
_symmetry_space_group_name_H-M 'P 1'
_symmetry_Int_Tables_number 1
_symmetry_space_group_name_Hall 'P 1'
_cell_length_a 4.174
_cell_length_b 6.116
_cell_length_c 7.279
_cell_angle_alpha 78.30
_cell_angle_beta 84.99
_cell_angle_gamma 75.35
loop_
_atom_site_label
_atom_site_fract_x
_atom_site_fract_y
_atom_site_fract_z
Ga1 0.000 0.000 0.000
Ga2 0.450 0.990 0.317
H1 0.028 0.520 0.591
H2 0.215 0.123 0.129
H3 0.336 0.793 0.449
H4 0.791 0.192 0.858
H5 0.797 0.875 0.186
H6 0.887 0.581 0.648
Cl1 0.383 0.715 0.924
Cl2 0.607 0.260 0.411
# distance to the lowest polymorph of the same formula: 0 meV/atom
# space-group type: P1, No. 1

=====

Entry 6:
# PuThGePt, optimized geometry, DFT PBE-GGA
data_PuThGePt
_chemical_formula_sum 'Pu4 Th4 Ge4 Pt4'
_symmetry_space_group_name_H-M 'P 1'
_symmetry_Int_Tables_number 1
_symmetry_space_group_name_Hall 'P 1'
_cell_length_a 7.224
_cell_length_b 7.224
_cell_length_c 7.224
_cell_angle_alpha 90.00
_cell_angle_beta 90.00
_cell_angle_gamma 90.00
loop_
_atom_site_label
_atom_site_fract_x
_atom_site_fract_y
_atom_site_fract_z
Pu1 0.000 0.000 0.000
Pu2 0.000 0.500 0.500
Pu3 0.500 0.000 0.500
Pu4 0.500 0.500 0.000
Th1 0.000 0.000 0.500
Th2 0.000 0.500 0.000
Th3 0.500 0.000 0.000
Th4 0.500 0.500 0.500
Ge1 0.250 0.250 0.250
Ge2 0.250 0.750 0.750
Ge3 0.750 0.250 0.750
Ge4 0.750 0.750 0.250
Pt1 0.250 0.250 0.750
Pt2 0.250 0.750 0.250
Pt3 0.750 0.250 0.250
Pt4 0.750 0.750 0.750
# ΔE_f: -0.64 eV per atom
# space-group type: F-43m, No. 216

=====

Entry 7:
# CsKCa2Pt, optimized geometry, DFT PBE-GGA
data_CsKCa2Pt
_chemical_formula_sum 'Cs1 K1 Ca2 Pt1'
_symmetry_space_group_name_H-M 'P 1'
_symmetry_Int_Tables_number 1
_symmetry_space_group_name_Hall 'P 1'
_cell_length_a 5.725
_cell_length_b 5.725
_cell_length_c 7.019
_cell_angle_alpha 90.00
_cell_angle_beta 90.00
_cell_angle_gamma 90.00
loop_
_atom_site_label
_atom_site_fract_x
_atom_site_fract_y
_atom_site_fract_z
Cs1 0.000 0.000 0.000
K1 0.500 0.500 0.000
Ca1 0.000 0.500 0.500
Ca2 0.500 0.000 0.500
Pt1 0.000 0.000 0.500
# ΔE_f: -0.20 eV per atom
# space-group type: P4/mmm, No. 123

=====

Entry 8:
# AgHg2Br2, optimized geometry, DFT PBE-GGA
data_AgHg2Br2
_chemical_formula_sum 'Ag2 Hg4 Br4'
_symmetry_space_group_name_H-M 'P 1'
_symmetry_Int_Tables_number 1
_symmetry_space_group_name_Hall 'P 1'
_cell_length_a 3.975
_cell_length_b 3.975
_cell_length_c 17.885
_cell_angle_alpha 90.00
_cell_angle_beta 90.00
_cell_angle_gamma 90.00
loop_
_atom_site_label
_atom_site_fract_x
_atom_site_fract_y
_atom_site_fract_z
Ag1 0.000 0.000 0.000
Ag2 0.500 0.500 0.500
Hg1 0.000 0.500 0.250
Hg2 0.000 0.500 0.750
Hg3 0.500 0.000 0.250
Hg4 0.500 0.000 0.750
Br1 0.000 0.000 0.407
Br2 0.000 0.000 0.593
Br3 0.500 0.500 0.093
Br4 0.500 0.500 0.907
# raw formation energy: -0.024 eV/atom
# distance to the lowest polymorph of the same formula: 83 meV/atom
# space-group type: I4/mmm, No. 139

=====

Entry 9:
# Pr2Sm7Tm, optimized geometry, DFT PBE-GGA
data_Pr2Sm7Tm
_chemical_formula_sum 'Pr2 Sm7 Tm1'
_symmetry_space_group_name_H-M 'P 1'
_symmetry_Int_Tables_number 1
_symmetry_space_group_name_Hall 'P 1'
_cell_length_a 15.037
_cell_length_b 15.037
_cell_length_c 3.497
_cell_angle_alpha 90.00
_cell_angle_beta 90.00
_cell_angle_gamma 154.28
loop_
_atom_site_label
_atom_site_fract_x
_atom_site_fract_y
_atom_site_fract_z
Pr1 0.205 0.795 0.000
Pr2 0.795 0.205 0.000
Sm1 0.000 0.000 0.000
Sm2 0.159 0.354 0.000
Sm3 0.313 0.687 0.500
Sm4 0.354 0.159 0.000
Sm5 0.646 0.841 0.000
Sm6 0.687 0.313 0.500
Sm7 0.841 0.646 0.000
Tm1 0.500 0.500 0.500
# ΔE_f: 0.15 eV per atom
# distance to the lowest polymorph of the same formula: 133 meV/atom
# space-group type: Cmmm, No. 65

=====

Entry 10:
# KBeGeO4, optimized geometry, DFT PBE-GGA
data_KBeGeO4
_chemical_formula_sum 'K2 Be2 Ge2 O8'
_symmetry_space_group_name_H-M 'P 1'
_symmetry_Int_Tables_number 1
_symmetry_space_group_name_Hall 'P 1'
_cell_length_a 5.304
_cell_length_b 5.304
_cell_length_c 7.713
_cell_angle_alpha 90.00
_cell_angle_beta 90.00
_cell_angle_gamma 90.00
loop_
_atom_site_label
_atom_site_fract_x
_atom_site_fract_y
_atom_site_fract_z
K1 0.000 0.000 0.000
K2 0.500 0.500 0.500
Be1 0.000 0.500 0.750
Be2 0.500 0.000 0.250
Ge1 0.000 0.000 0.500
Ge2 0.500 0.500 0.000
O1 0.078 0.262 0.630
O2 0.238 0.578 0.870
O3 0.262 0.922 0.370
O4 0.422 0.238 0.130
O5 0.578 0.762 0.130
O6 0.738 0.078 0.370
O7 0.762 0.422 0.870
O8 0.922 0.738 0.630
# raw formation energy: -1.766 eV/atom
# space-group type: I-4, No. 82

=====

Entry 11:
# AcGd2Sn, optimized geometry, DFT PBE-GGA
data_AcGd2Sn
_chemical_formula_sum 'Ac1 Gd2 Sn1'
_symmetry_space_group_name_H-M 'P 1'
_symmetry_Int_Tables_number 1
_symmetry_space_group_name_Hall 'P 1'
_cell_length_a 4.049
_cell_length_b 4.049
_cell_length_c 7.936
_cell_angle_alpha 90.00
_cell_angle_beta 90.00
_cell_angle_gamma 90.00
loop_
_atom_site_label
_atom_site_fract_x
_atom_site_fract_y
_atom_site_fract_z
Ac1 0.000 0.000 0.000
Gd1 0.500 0.500 0.299
Gd2 0.500 0.500 0.701
Sn1 0.000 0.000 0.500
# ΔE_f: -0.34 eV per atom
# distance to the lowest polymorph of the same formula: 47 meV/atom
# space-group type: P4/mmm, No. 123

=====

Entry 12:
# Al2InBr, optimized geometry, DFT PBE-GGA
data_Al2InBr
_chemical_formula_sum 'Al4 In2 Br2'
_symmetry_space_group_name_H-M 'P 1'
_symmetry_Int_Tables_number 1
_symmetry_space_group_name_Hall 'P 1'
_cell_length_a 4.367
_cell_length_b 4.367
_cell_length_c 10.500
_cell_angle_alpha 90.00
_cell_angle_beta 90.00
_cell_angle_gamma 90.00
loop_
_atom_site_label
_atom_site_fract_x
_atom_site_fract_y
_atom_site_fract_z
Al1 0.000 0.500 0.250
Al2 0.000 0.500 0.750
Al3 0.500 0.000 0.250
Al4 0.500 0.000 0.750
In1 0.000 0.000 0.000
In2 0.500 0.500 0.500
Br1 0.000 0.000 0.500
Br2 0.500 0.500 0.000
# raw formation energy: 0.205 eV/atom
# distance to the lowest polymorph of the same formula: 182 meV/atom
# space-group type: I4/mmm, No. 139

=====

Number 1: N(E_F) 3.85 states/eV/cell. Number 2: N(E_F) 4.86 states/eV/cell. Number 3: N(E_F) 16.55 states/eV/cell. Number 4: N(E_F) 2.84 states/eV/cell. Number 5: N(E_F) 0.00 states/eV/cell. Number 6: N(E_F) 42.89 states/eV/cell. Number 7: N(E_F) 3.00 states/eV/cell. Number 8: N(E_F) 7.28 states/eV/cell. Number 9: N(E_F) 15.71 states/eV/cell. Number 10: N(E_F) 9.02 states/eV/cell. Number 11: N(E_F) 5.31 states/eV/cell. Number 12: N(E_F) 3.18 states/eV/cell.